Record 1
A plane-wave DFT calculation with PBE was carried out for Nb2AlNi after structural relaxation.

```
Nb2AlNi
1.0
7.125 0.000 0.000
0.000 7.125 0.000
3.563 3.563 2.648
Ni Nb Al
2 4 2
direct
0.000 0.000 0.000 Ni
0.750 0.250 0.500 Ni
0.653 0.125 0.250 Nb
0.097 0.625 0.250 Nb
0.375 0.347 0.750 Nb
0.875 0.903 0.750 Nb
0.500 0.500 0.000 Al
0.250 0.750 0.500 Al
```

Results
Density of states at the Fermi level = 8.625 states/eV per cell
Density = 6.7 g/cm3
Calculated total energy = -7.256 eV per atom

Record 2
A plane-wave DFT calculation with PBE was carried out for Nb2AlNi6 after structural relaxation.

```
Nb2AlNi6
1.0
5.438 0.000 0.000
0.000 4.299 -2.482
0.000 0.000 4.964
Nb Al Ni
2 1 6
direct
0.358 0.667 0.333 Nb
0.642 0.333 0.667 Nb
0.500 0.000 0.000 Al
0.826 0.825 0.650 Ni
0.826 0.825 0.175 Ni
0.174 0.650 0.825 Ni
0.826 0.350 0.175 Ni
0.174 0.175 0.825 Ni
0.174 0.175 0.350 Ni
```

Results
Density of states at the Fermi level = 7.308 states/eV per cell
Density = 8.1 g/cm3
Calculated total energy = -6.742 eV per atom

Record 3
A plane-wave DFT calculation with PBE was carried out for Nb2Al3Ni4 after structural relaxation.

```
Nb2Al3Ni4
1.0
-1.354 -4.087 2.715
2.941 -4.119 -4.736
6.750 2.357 2.142
Nb Al Ni
4 6 8
direct
0.094 0.598 0.187 Nb
0.906 0.402 0.813 Nb
0.406 0.098 0.813 Nb
0.594 0.902 0.187 Nb
0.000 0.000 0.000 Al
0.500 0.500 0.000 Al
0.509 0.750 0.519 Al
0.991 0.250 0.481 Al
0.491 0.250 0.481 Al
0.009 0.750 0.519 Al
0.681 0.750 0.862 Ni
0.819 0.250 0.138 Ni
0.319 0.250 0.138 Ni
0.181 0.750 0.862 Ni
0.172 0.988 0.345 Ni
0.828 0.012 0.655 Ni
0.328 0.488 0.655 Ni
0.672 0.512 0.345 Ni
```

Results
Density of states at the Fermi level = 15.325 states/eV per cell
Density = 6.7 g/cm3
Calculated total energy = -6.446 eV per atom

Record 4
A plane-wave DFT calculation with PBE was carried out for NbAlNi3 after structural relaxation.

```
NbAlNi3
1.0
-3.460 2.292 -1.804
-2.671 -3.614 0.531
-1.172 1.471 4.116
Ni Nb Al
3 1 1
direct
0.000 0.500 0.000 Ni
0.000 0.000 0.500 Ni
0.500 0.000 0.000 Ni
0.000 0.000 0.000 Nb
0.500 0.500 0.500 Al
```

Results
Density of states at the Fermi level = 5.977 states/eV per cell
Density = 5.3 g/cm3
Polymorph energy (0 for the lowest one) = 583 meV/atom